! PBE with a Hubbard U Ba2NaNi3O6, optimized geometry; values from VASP
! Uncorrected energy in eV/atom: -5.0451
&SYSTEM
  ibrav = 0, nat = 24, ntyp = 4
/
ATOMIC_SPECIES
Ba 137.33 Ba.upf
Na 22.99 Na.upf
Ni 58.69 Ni.upf
O 16.00 O.upf
ATOMIC_POSITIONS angstrom
Ba 4.116 2.680 7.376
Ba 2.058 2.851 3.688
Ba 6.174 8.554 11.064
Ba 4.116 8.726 7.376
Na 4.116 5.703 4.956
Na 4.116 5.703 9.795
Ni 5.291 5.703 2.140
Ni 2.940 5.703 2.140
Ni 5.766 5.703 7.376
Ni 2.466 5.703 7.376
Ni 5.291 5.703 12.611
Ni 2.940 5.703 12.611
O 5.905 4.444 5.983
O 4.116 4.429 2.851
O 5.905 4.444 8.768
O 5.905 6.961 5.983
O 4.116 6.976 2.851
O 5.905 6.961 8.768
O 2.327 4.444 5.983
O 4.116 4.429 11.900
O 2.327 4.444 8.768
O 2.327 6.961 5.983
O 4.116 6.976 11.900
O 2.327 6.961 8.768
CELL_PARAMETERS angstrom
0.000 5.703 7.376
4.116 0.000 7.376
4.116 5.703 0.000